No. 1
# Cd3InAg3 PBE relaxed
# E above lowest polymorph (kJ/mol of atoms): 45.0
# Spin magnetization (μB per formula unit): 0.00
# E (eV for the cell shown): -21.70
# Density of states at the Fermi level (states/eV per atom): 0.49
# ΔH_f (0 K) (eV/f.u.): 3.2
data_Cd3InAg3
_space_group_name_H-M_alt 'P m -3 n'
_space_group_IT_number 223
_space_group_name_Hall '-P 4n 2 3'
_cell_length_a 7.672
_cell_length_b 7.672
_cell_length_c 7.672
_cell_angle_alpha 90.00
_cell_angle_beta 90.00
_cell_angle_gamma 90.00
loop_
_atom_site_label
_atom_site_fract_x
_atom_site_fract_y
_atom_site_fract_z
_atom_site_occupancy
Cd1 0.000 0.250 0.500 1
In1 0.000 0.000 0.000 1
Ag1 0.000 0.500 0.250 1

=====

No. 2
# Nd8Dy5In PBE relaxed
# Spin magnetization (μB per formula unit): 0.00
# E (eV for the cell shown): -125.09
# Density of states at the Fermi level (states/eV per atom): 1.50
# ΔH_f (0 K) (eV/f.u.): 1.3
data_Nd8Dy5In
_space_group_name_H-M_alt 'C 1 2 1'
_space_group_IT_number 5
_space_group_name_Hall 'C 2y'
_cell_length_a 15.595
_cell_length_b 8.441
_cell_length_c 8.508
_cell_angle_alpha 90.00
_cell_angle_beta 121.56
_cell_angle_gamma 90.00
loop_
_atom_site_label
_atom_site_fract_x
_atom_site_fract_y
_atom_site_fract_z
_atom_site_occupancy
Nd1 0.122 0.000 0.181 1
Nd2 0.177 0.406 0.222 1
Nd3 0.181 0.705 0.916 1
Nd4 0.184 0.229 0.574 1
Dy1 0.000 0.959 0.500 1
Dy2 0.047 0.302 0.773 1
Dy3 0.099 0.631 0.452 1
In1 0.000 0.658 0.000 1

=====

No. 3
# AlCu6Pd PBE relaxed
# E above lowest polymorph (kJ/mol of atoms): 32.3
# Spin magnetization (μB per formula unit): 0.00
# E (eV for the cell shown): -93.79
# Density of states at the Fermi level (states/eV per atom): 0.48
# ΔH_f (0 K) (eV/f.u.): 2.2
data_AlCu6Pd
_space_group_name_H-M_alt 'R -3 m'
_space_group_IT_number 166
_space_group_name_Hall '-R 3 2"'
_cell_length_a 4.8648
_cell_length_b 4.8648
_cell_length_c 19.5108
_cell_angle_alpha 90.00
_cell_angle_beta 90.00
_cell_angle_gamma 120.00
loop_
_atom_site_label
_atom_site_fract_x
_atom_site_fract_y
_atom_site_fract_z
_atom_site_occupancy
Al1 0.0000 0.0000 0.0000 1
Cu1 0.0009 0.5005 0.4371 1
Pd1 0.0000 0.0000 0.5000 1

=====

No. 4
# Ba3Bi7Pt2 PBE relaxed
# Spin magnetization (μB per formula unit): 0.00
# E (eV for the cell shown): -51.82
# Density of states at the Fermi level (states/eV per atom): 0.50
# ΔH_f (0 K) (eV/f.u.): -6.8
data_Ba3Bi7Pt2
_space_group_name_H-M_alt 'P 1 2/m 1'
_space_group_IT_number 10
_space_group_name_Hall '-P 2y'
_cell_length_a 5.160
_cell_length_b 5.044
_cell_length_c 15.430
_cell_angle_alpha 90.00
_cell_angle_beta 99.09
_cell_angle_gamma 90.00
loop_
_atom_site_label
_atom_site_fract_x
_atom_site_fract_y
_atom_site_fract_z
_atom_site_occupancy
Ba1 0.000 0.000 0.000 1
Ba2 0.317 0.500 0.633 1
Bi1 0.085 0.500 0.174 1
Bi2 0.219 0.000 0.439 1
Bi3 0.417 0.000 0.822 1
Bi4 0.500 0.500 0.000 1
Pt1 0.118 0.000 0.255 1

=====

No. 5
# U2SiSb PBE relaxed
# E above lowest polymorph (kJ/mol of atoms): 0.0
# Spin magnetization (μB per formula unit): 5.46
# E (eV for the cell shown): -32.53
# Density of states at the Fermi level (states/eV per atom): 2.69
data_U2SiSb
_space_group_name_H-M_alt 'P 4/m m m'
_space_group_IT_number 123
_space_group_name_Hall '-P 4 2'
_cell_length_a 3.457
_cell_length_b 3.457
_cell_length_c 7.686
_cell_angle_alpha 90.00
_cell_angle_beta 90.00
_cell_angle_gamma 90.00
loop_
_atom_site_label
_atom_site_fract_x
_atom_site_fract_y
_atom_site_fract_z
_atom_site_occupancy
U1 0.000 0.000 0.219 1
Si1 0.500 0.500 0.000 1
Sb1 0.500 0.500 0.500 1

=====

No. 6
# TaFe2I8 PBE relaxed
# Spin magnetization (μB per formula unit): 6.99
# E (eV for the cell shown): -88.45
# Density of states at the Fermi level (states/eV per atom): 0.43
data_TaFe2I8
_space_group_name_H-M_alt 'C 1 2/m 1'
_space_group_IT_number 12
_space_group_name_Hall '-C 2y'
_cell_length_a 9.285
_cell_length_b 12.182
_cell_length_c 9.195
_cell_angle_alpha 90.00
_cell_angle_beta 104.71
_cell_angle_gamma 90.00
loop_
_atom_site_label
_atom_site_fract_x
_atom_site_fract_y
_atom_site_fract_z
_atom_site_occupancy
Ta1 0.000 0.000 0.000 1
Fe1 0.003 0.000 0.366 1
I1 0.003 0.176 0.207 1
I2 0.198 0.500 0.926 1
I3 0.241 0.500 0.430 1